No. 1
! Li2In (PBE, relaxed); values from VASP
&SYSTEM
  ibrav = 0, nat = 12, ntyp = 2
/
ATOMIC_SPECIES
Li 6.94 Li.upf
In 114.82 In.upf
ATOMIC_POSITIONS crystal
Li 0.1308 0.6308 0.1308
Li 0.6308 0.8692 0.8692
Li 0.6308 0.6308 0.3692
Li 0.8692 0.3692 0.8692
Li 0.8692 0.1308 0.3692
Li 0.1308 0.8692 0.6308
Li 0.3692 0.1308 0.1308
Li 0.3692 0.3692 0.6308
In 0.0000 0.5000 0.5000
In 0.5000 0.0000 0.5000
In 0.5000 0.5000 0.0000
In 0.0000 0.0000 0.0000
CELL_PARAMETERS angstrom
6.6405 0.0000 0.0000
0.0000 6.6405 0.0000
0.0000 0.0000 6.6405
! density = 2.919 g cm⁻³
! uncorrected energy = -2.0825 eV per atom
! calculated volume = 293 Å³/cell

No. 2
! LaW2SN (PBE, relaxed); values from VASP
&SYSTEM
  ibrav = 0, nat = 5, ntyp = 4
/
ATOMIC_SPECIES
S 32.06 S.upf
W 183.84 W.upf
N 14.01 N.upf
La 138.91 La.upf
ATOMIC_POSITIONS crystal
S 0.5000 0.5000 0.5000
W 0.0000 0.0000 0.5000
W 0.5000 0.0000 0.0000
N 0.0000 0.0000 0.0000
La 0.0000 0.5000 0.0000
CELL_PARAMETERS angstrom
4.0514 0.0000 0.0000
0.0000 5.4954 0.0000
0.0000 0.0000 4.0514
! formation energy (no corrections) = -157 meV per atom
! density = 10.174 g cm⁻³
! uncorrected energy = -8.8140 eV per atom
! calculated volume = 90 Å³/cell

No. 3
! HfNb2Zn2 (PBE, relaxed); values from VASP
&SYSTEM
  ibrav = 0, nat = 5, ntyp = 3
/
ATOMIC_SPECIES
Zn 65.41 Zn.upf
Nb 92.91 Nb.upf
Hf 178.49 Hf.upf
ATOMIC_POSITIONS crystal
Zn 0.7500 0.2500 0.5000
Zn 0.2500 0.7500 0.5000
Nb 0.5986 0.5986 0.8028
Nb 0.4014 0.4014 0.1972
Hf 0.0000 0.0000 0.0000
CELL_PARAMETERS angstrom
3.9241 0.0000 0.0000
0.0000 3.9241 0.0000
1.9621 1.9621 6.2277
! ΔE to the lowest computed polymorph = 0.3058 eV per atom
! density = 8.573 g cm⁻³
! uncorrected energy = -6.2071 eV per atom
! calculated volume = 96 Å³/cell

No. 4
! KTiSnBi2 (PBE, relaxed); values from VASP
&SYSTEM
  ibrav = 0, nat = 5, ntyp = 4
/
ATOMIC_SPECIES
Sn 118.71 Sn.upf
Bi 208.98 Bi.upf
K 39.10 K.upf
Ti 47.87 Ti.upf
ATOMIC_POSITIONS crystal
Sn 0.5000 0.5000 0.5000
Bi 0.5000 0.0000 0.0000
Bi 0.0000 0.0000 0.5000
K 0.0000 0.0000 0.0000
Ti 0.0000 0.5000 0.0000
CELL_PARAMETERS angstrom
5.9322 0.0000 0.0000
0.0000 4.9997 0.0000
0.0000 0.0000 5.9322
! ΔE to the lowest computed polymorph = 1.4417 eV per atom
! density = 5.886 g cm⁻³
! uncorrected energy = -2.8230 eV per atom
! calculated volume = 176 Å³/cell

No. 5
! TaVIn2Au (PBE, relaxed); values from VASP
&SYSTEM
  ibrav = 0, nat = 5, ntyp = 4
/
ATOMIC_SPECIES
In 114.82 In.upf
Au 196.97 Au.upf
V 50.94 V.upf
Ta 180.95 Ta.upf
ATOMIC_POSITIONS crystal
In 0.5000 0.0000 0.0000
In 0.0000 0.0000 0.5000
Au 0.0000 0.5000 0.0000
V 0.5000 0.5000 0.5000
Ta 0.0000 0.0000 0.0000
CELL_PARAMETERS angstrom
-4.6196 2.0825 1.6914
-1.5822 -4.6247 1.3728
2.1038 0.7220 4.8571
! density = 7.547 g cm⁻³
! uncorrected energy = -4.5063 eV per atom
! calculated volume = 145 Å³/cell

No. 6
! Li5PrCd4 (PBE, relaxed); values from VASP
&SYSTEM
  ibrav = 0, nat = 10, ntyp = 3
/
ATOMIC_SPECIES
Cd 112.41 Cd.upf
Pr 140.91 Pr.upf
Li 6.94 Li.upf
ATOMIC_POSITIONS crystal
Cd 0.0000 0.0000 0.2212
Cd 0.0000 0.0000 0.5936
Cd 0.0000 0.0000 0.4064
Cd 0.0000 0.0000 0.7788
Pr 0.0000 0.0000 0.0000
Li 0.5000 0.5000 0.1378
Li 0.5000 0.5000 0.5000
Li 0.5000 0.5000 0.6837
Li 0.5000 0.5000 0.3163
Li 0.5000 0.5000 0.8622
CELL_PARAMETERS angstrom
-2.5233 1.4132 1.8326
-1.3032 -3.1082 0.6026
9.6492 -1.2788 14.2720
! density = 5.127 g cm⁻³
! uncorrected energy = -1.9770 eV per atom
! calculated volume = 203 Å³/cell

No. 7
! In2TcIr (PBE, relaxed); values from VASP
&SYSTEM
  ibrav = 0, nat = 4, ntyp = 3
/
ATOMIC_SPECIES
In 114.82 In.upf
Tc 98.00 Tc.upf
Ir 192.22 Ir.upf
ATOMIC_POSITIONS crystal
In 0.0000 0.0000 0.9710
In 0.5000 0.5000 0.2782
Tc 0.5000 0.5000 0.7423
Ir 0.0000 0.0000 0.5084
CELL_PARAMETERS angstrom
-1.8605 0.4181 2.2750
-2.3153 -2.9109 -1.3585
3.1256 -4.0242 3.2958
! ΔE to the lowest computed polymorph = 0.2302 eV per atom
! density = 12.102 g cm⁻³
! uncorrected energy = -5.9176 eV per atom
! calculated volume = 71 Å³/cell

No. 8
! CrMo2As (PBE, relaxed); values from VASP
&SYSTEM
  ibrav = 0, nat = 4, ntyp = 3
/
ATOMIC_SPECIES
Cr 52.00 Cr.upf
Mo 95.94 Mo.upf
As 74.92 As.upf
ATOMIC_POSITIONS crystal
Cr 0.7520 0.7520 0.7520
Mo 0.0057 0.0057 0.0057
Mo 0.2474 0.2474 0.2474
As 0.4949 0.4949 0.4949
CELL_PARAMETERS angstrom
-2.9143 6.4082 -4.5654
-2.4203 4.4733 -6.6733
-4.9142 4.3973 -5.1881
! density = 8.819 g cm⁻³
! uncorrected energy = -8.6755 eV per atom
! calculated volume = 60 Å³/cell

No. 9
! Tb4MgRh5 (PBE, relaxed); values from VASP
&SYSTEM
  ibrav = 0, nat = 10, ntyp = 3
/
ATOMIC_SPECIES
Rh 102.91 Rh.upf
Mg 24.30 Mg.upf
Tb 158.93 Tb.upf
ATOMIC_POSITIONS crystal
Rh 0.5000 0.5000 0.2940
Rh 0.5000 0.5000 0.5000
Rh 0.5000 0.5000 0.9109
Rh 0.5000 0.5000 0.0891
Rh 0.5000 0.5000 0.7060
Mg 0.0000 0.0000 0.0000
Tb 0.0000 0.0000 0.8118
Tb 0.0000 0.0000 0.1882
Tb 0.0000 0.0000 0.3962
Tb 0.0000 0.0000 0.6038
CELL_PARAMETERS angstrom
-3.4022 -0.1472 -0.1240
0.0019 -2.2215 2.5840
-0.9410 12.6147 10.8461
! density = 10.080 g cm⁻³
! uncorrected energy = -6.4597 eV per atom
! calculated volume = 193 Å³/cell

No. 10
! SmY2Sc2 (PBE, relaxed); values from VASP
&SYSTEM
  ibrav = 0, nat = 10, ntyp = 3
/
ATOMIC_SPECIES
Y 88.91 Y.upf
Sm 150.36 Sm.upf
Sc 44.96 Sc.upf
ATOMIC_POSITIONS crystal
Y 0.1644 0.8356 0.0000
Y 0.4144 0.5856 0.5000
Y 0.0856 0.9144 0.5000
Y 0.8356 0.1644 0.0000
Sm 0.5000 0.5000 0.0000
Sm 0.7500 0.2500 0.5000
Sc 0.1250 0.3750 0.7500
Sc 0.6250 0.3750 0.7500
Sc 0.6250 0.8750 0.2500
Sc 0.6250 0.3750 0.2500
CELL_PARAMETERS angstrom
-4.4382 -2.1039 -3.8831
3.0014 -3.4037 4.3137
-6.6777 5.2390 6.8917
! ΔE to the lowest computed polymorph = 0.3987 eV per atom
! density = 4.136 g cm⁻³
! uncorrected energy = -5.5365 eV per atom
! calculated volume = 336 Å³/cell

No. 11
! Si2Au (PBE, relaxed); values from VASP
&SYSTEM
  ibrav = 0, nat = 12, ntyp = 2
/
ATOMIC_SPECIES
Au 196.97 Au.upf
Si 28.09 Si.upf
ATOMIC_POSITIONS crystal
Au 0.6667 0.3333 0.0328
Au 0.3333 0.6667 0.5328
Au 0.6667 0.3333 0.4672
Au 0.3333 0.6667 0.9672
Si 0.0000 0.0000 0.0000
Si 0.0000 0.0000 0.5000
Si 0.3255 0.1628 0.2500
Si 0.1628 0.8372 0.7500
Si 0.8372 0.6745 0.2500
Si 0.8372 0.1628 0.2500
Si 0.1628 0.3255 0.7500
Si 0.6745 0.8372 0.7500
CELL_PARAMETERS angstrom
-0.2365 3.3637 3.5661
-0.1972 -4.7757 1.1142
10.3889 -0.2199 0.8963
! ΔE to the lowest computed polymorph = 0.3314 eV per atom
! formation energy (no corrections) = 428 meV per atom
! density = 7.728 g cm⁻³
! uncorrected energy = -4.2797 eV per atom
! calculated volume = 218 Å³/cell

No. 12
! DyHf2Pd8 (PBE, relaxed); values from VASP
&SYSTEM
  ibrav = 0, nat = 11, ntyp = 3
/
ATOMIC_SPECIES
Pd 106.42 Pd.upf
Hf 178.49 Hf.upf
Dy 162.50 Dy.upf
ATOMIC_POSITIONS crystal
Pd 0.3185 0.0886 0.6370
Pd 0.9579 0.2828 0.9158
Pd 0.0421 0.7173 0.0842
Pd 0.8537 0.7977 0.7074
Pd 0.6815 0.9114 0.3630
Pd 0.3984 0.5405 0.7969
Pd 0.6016 0.4595 0.2031
Pd 0.1463 0.2023 0.2926
Hf 0.2208 0.6670 0.4417
Hf 0.7792 0.3330 0.5583
Dy 0.5000 0.0000 0.0000
CELL_PARAMETERS angstrom
4.1031 0.0000 0.0000
0.0000 6.6682 0.2849
-2.0515 -2.5365 6.8095
! density = 12.027 g cm⁻³
! uncorrected energy = -6.7706 eV per atom
! calculated volume = 189 Å³/cell